No. 1
## AlGaAu (PBE)

Data for crystalline AlGaAu at its relaxed geometry.

Cell: 4.3125 4.3125 4.3125 Å, 60.00 60.00 60.00°
Sites, in units of the cell vectors:
Al: 0.0000 0.0000 0.0000
Ga: 0.5000 0.5000 0.5000
Au: 0.2500 0.2500 0.2500

Output
E_form = -0.308 eV/atom

***

No. 2
## Tl2CoW (PBE)

Data for crystalline Tl2CoW at its relaxed geometry.

Cell: 3.0593 3.0593 8.6023 Å, 90.00 90.00 90.00°
Sites, in units of the cell vectors:
Tl: 0.0000 0.0000 0.0000
Tl: 0.5000 0.5000 0.3404
Co: 0.5000 0.5000 0.7462
W: 0.0000 0.0000 0.6064

Output
E_form = 0.544 eV/atom
Energy above the lowest structure with this stoichiometry = 21 meV/atom

***

No. 3
## CaTb14Pr (PBE)

Data for crystalline CaTb14Pr at its relaxed geometry.

Cell: 11.4230 7.3118 7.3118 Å, 59.90 90.00 90.00°
Sites, in units of the cell vectors:
Ca: 0.0000 0.0000 0.0000
Tb: 0.0000 0.0019 0.4983
Tb: 0.0000 0.4983 0.0019
Tb: 0.2498 0.3333 0.3333
Tb: 0.2534 0.8313 0.8313
Tb: 0.2549 0.3376 0.8321
Tb: 0.2549 0.8321 0.3376
Tb: 0.5000 0.0003 0.0003
Tb: 0.5000 0.0004 0.4999
Tb: 0.5000 0.4999 0.0004
Tb: 0.5000 0.5006 0.5006
Tb: 0.7451 0.3376 0.8321
Tb: 0.7451 0.8321 0.3376
Tb: 0.7466 0.8313 0.8313
Tb: 0.7502 0.3333 0.3333
Pr: 0.0000 0.4990 0.4990

Output
E_form = 0.031 eV/atom

***

No. 4
## SrTaMn2 (PBE)

Data for crystalline SrTaMn2 at its relaxed geometry.

Cell: 6.9910 6.9910 6.9910 Å, 153.78 145.75 43.64°
Sites, in units of the cell vectors:
Sr: 0.0000 0.0000 0.0000
Ta: 0.2746 0.7746 0.5000
Mn: 0.6441 0.6441 0.0000
Mn: 0.7680 0.2680 0.5000

Output
E_form = 0.625 eV/atom
Energy above the lowest structure with this stoichiometry = 252 meV/atom

***

No. 5
## OsRhS2 (PBE)

Data for crystalline OsRhS2 at its relaxed geometry.

Cell: 4.2658 4.2658 4.2658 Å, 60.00 60.00 60.00°
Sites, in units of the cell vectors:
Os: 0.0000 0.0000 0.0000
Rh: 0.5000 0.5000 0.5000
S: 0.2500 0.2500 0.2500
S: 0.7500 0.7500 0.7500

Output
Raw formation energy = 42.6 kJ per mole of atoms
Energy above the lowest structure with this stoichiometry = 442 meV/atom

***

No. 6
## V2OsRh6 (PBE)

Data for crystalline V2OsRh6 at its relaxed geometry.

Cell: 6.0512 6.0512 6.0976 Å, 107.28 107.28 36.48°
Sites, in units of the cell vectors:
V: 0.0560 0.0560 0.3203
V: 0.9440 0.9440 0.6797
Os: 0.5000 0.5000 0.0000
Rh: 0.1618 0.1618 0.0011
Rh: 0.2833 0.2833 0.6662
Rh: 0.3931 0.3931 0.3372
Rh: 0.6069 0.6069 0.6628
Rh: 0.7167 0.7167 0.3338
Rh: 0.8382 0.8382 0.9989

Output
E_form = -0.237 eV/atom

***

No. 7
## Li2Pr3Si4 (PBE)

Data for crystalline Li2Pr3Si4 at its relaxed geometry.

Cell: 5.8979 5.8979 8.4471 Å, 102.53 102.53 42.39°
Sites, in units of the cell vectors:
Li: 0.1227 0.1227 0.2906
Li: 0.8773 0.8773 0.7094
Pr: 0.1591 0.1591 0.6718
Pr: 0.5000 0.5000 0.0000
Pr: 0.8409 0.8409 0.3282
Si: 0.2170 0.2170 0.0502
Si: 0.4403 0.4403 0.6036
Si: 0.5597 0.5597 0.3964
Si: 0.7830 0.7830 0.9498

Output
Raw formation energy = -58.7 kJ per mole of atoms

***

No. 8
## KGa3Sb3 (PBE)

Data for crystalline KGa3Sb3 at its relaxed geometry.

Cell: 9.8485 9.8485 9.8485 Å, 47.21 47.21 47.21°
Sites, in units of the cell vectors:
K: 0.1665 0.1665 0.1665
K: 0.8335 0.8335 0.8335
Ga: 0.0353 0.7087 0.3707
Ga: 0.2913 0.6293 0.9647
Ga: 0.3707 0.0353 0.7087
Ga: 0.6293 0.9647 0.2913
Ga: 0.7087 0.3707 0.0353
Ga: 0.9647 0.2913 0.6293
Sb: 0.0737 0.4041 0.7334
Sb: 0.2666 0.9263 0.5959
Sb: 0.4041 0.7334 0.0737
Sb: 0.5959 0.2666 0.9263
Sb: 0.7334 0.0737 0.4041
Sb: 0.9263 0.5959 0.2666

Output
Raw formation energy = -16.8 kJ per mole of atoms
Energy above the lowest structure with this stoichiometry = 0 meV/atom

***

no.,Fermi-level density of states (states/eV per cell)
1,1.12
2,2.23
3,25.36
4,3.49
5,4.80
6,9.37
7,3.54
8,5.42